1.
Computed, not measured: crystalline GdYN at its relaxed geometry at the PBE level of DFT.

Properties
* calculated density: 6.66 Mg/m³
* SG: P3m1
* energy relative to the elements, uncorrected: -1.03 eV per atom
* offset from the most stable computed form: 0 meV per atom

Unit cell a=6.0020 b=3.5330 c=3.5330 alpha=120.00 beta=90.00 gamma=90.00
Closest atoms and distances in Å follow each position.
Positions (direct):
1 Gd 0.5597 0.6667 0.3333  3 N 2.46
2 Y 0.1098 0.0000 0.0000  3 N 2.43
3 N 0.3305 0.3333 0.6667  3 Y 2.43, 3 Gd 2.46


2.
Computed, not measured: crystalline GdY3N at its relaxed geometry at the PBE level of DFT.

Properties
* calculated density: 5.87 Mg/m³
* SG: Pm-3m
* energy relative to the elements, uncorrected: -0.51 eV per atom

Unit cell a=4.9845 b=4.9845 c=4.9845 alpha=90.00 beta=90.00 gamma=90.00
Closest atoms and distances in Å follow each position.
Positions (direct):
1 Gd 0.5000 0.5000 0.5000  12 Y 3.52
2 Y 0.0000 0.0000 0.5000  2 N 2.49
3 N 0.0000 0.0000 0.0000  6 Y 2.49
4 Y 0.0000 0.5000 0.0000  2 N 2.49
5 Y 0.5000 0.0000 0.0000  2 N 2.49


| no. | V (Å³ per cell) |
| --- | --- |
| 1 | 65 |
| 2 | 124 |